Entry 1:
# ScMn2Os2 PBE relaxed
data_ScMn2Os2
_chemical_formula_sum 'Sc2 Mn4 Os4'
_symmetry_space_group_name_H-M 'P 4/m b m'
_symmetry_Int_Tables_number 127
_symmetry_space_group_name_Hall '-P 4 2ab'
_cell_length_a 7.278
_cell_length_b 7.278
_cell_length_c 2.689
_cell_angle_alpha 90.00
_cell_angle_beta 90.00
_cell_angle_gamma 90.00
loop_
_atom_site_label
_atom_site_fract_x
_atom_site_fract_y
_atom_site_fract_z
Sc1 0.000 0.000 0.000
Mn1 0.118 0.382 0.000
Os1 0.173 0.673 0.500
# ΔH_f (0 K)   0.006 eV/atom
# Crystal system   tetragonal
# Excess energy over the best structure of this formula in the dataset   0.000 eV/atom

---

Entry 2:
# ScMn5Os PBE relaxed
data_ScMn5Os
_chemical_formula_sum 'Sc4 Mn20 Os4'
_symmetry_space_group_name_H-M 'P n m a'
_symmetry_Int_Tables_number 62
_symmetry_space_group_name_Hall '-P 2ac 2n'
_cell_length_a 7.900
_cell_length_b 4.730
_cell_length_c 9.901
_cell_angle_alpha 90.00
_cell_angle_beta 90.00
_cell_angle_gamma 90.00
loop_
_atom_site_label
_atom_site_fract_x
_atom_site_fract_y
_atom_site_fract_z
Sc1 0.248 0.250 0.062
Mn1 0.052 0.750 0.088
Mn2 0.073 0.009 0.309
Mn3 0.086 0.250 0.526
Mn4 0.192 0.250 0.753
Os1 0.138 0.750 0.850
# ΔH_f (0 K)   -0.126 eV/atom
# Crystal system   orthorhombic

---

Entry 3:
# Sc2MnOs PBE relaxed
data_Sc2MnOs
_chemical_formula_sum 'Sc8 Mn4 Os4'
_symmetry_space_group_name_H-M 'F -4 3 m'
_symmetry_Int_Tables_number 216
_symmetry_space_group_name_Hall 'F -4 2 3'
_cell_length_a 6.325
_cell_length_b 6.325
_cell_length_c 6.325
_cell_angle_alpha 90.00
_cell_angle_beta 90.00
_cell_angle_gamma 90.00
loop_
_atom_site_label
_atom_site_fract_x
_atom_site_fract_y
_atom_site_fract_z
Sc1 0.000 0.000 0.000
Sc2 0.250 0.250 0.250
Mn1 0.250 0.250 0.750
Os1 0.000 0.000 0.500
# ΔH_f (0 K)   0.048 eV/atom
# Crystal system   cubic
# Excess energy over the best structure of this formula in the dataset   0.230 eV/atom

---

Entry 4:
# ScMnOs4 PBE relaxed
data_ScMnOs4
_chemical_formula_sum 'Sc4 Mn4 Os16'
_symmetry_space_group_name_H-M 'F -4 3 m'
_symmetry_Int_Tables_number 216
_symmetry_space_group_name_Hall 'F -4 2 3'
_cell_length_a 7.326
_cell_length_b 7.326
_cell_length_c 7.326
_cell_angle_alpha 90.00
_cell_angle_beta 90.00
_cell_angle_gamma 90.00
loop_
_atom_site_label
_atom_site_fract_x
_atom_site_fract_y
_atom_site_fract_z
Sc1 0.000 0.000 0.000
Mn1 0.250 0.250 0.750
Os1 0.125 0.125 0.375
# ΔH_f (0 K)   0.116 eV/atom
# Crystal system   cubic

---

Entry 5:
# Sc2MnOs PBE relaxed
data_Sc2MnOs
_chemical_formula_sum 'Sc2 Mn1 Os1'
_symmetry_space_group_name_H-M 'P 4/m m m'
_symmetry_Int_Tables_number 123
_symmetry_space_group_name_Hall '-P 4 2'
_cell_length_a 4.539
_cell_length_b 4.539
_cell_length_c 3.311
_cell_angle_alpha 90.00
_cell_angle_beta 90.00
_cell_angle_gamma 90.00
loop_
_atom_site_label
_atom_site_fract_x
_atom_site_fract_y
_atom_site_fract_z
Sc1 0.000 0.500 0.000
Mn1 0.000 0.000 0.500
Os1 0.500 0.500 0.500
# ΔH_f (0 K)   -0.182 eV/atom
# Crystal system   tetragonal
# Excess energy over the best structure of this formula in the dataset   0.000 eV/atom

---

Entry 6:
# Sc2MnOs PBE relaxed
data_Sc2MnOs
_chemical_formula_sum 'Sc6 Mn3 Os3'
_symmetry_space_group_name_H-M 'R -3 m'
_symmetry_Int_Tables_number 166
_symmetry_space_group_name_Hall '-R 3 2"'
_cell_length_a 3.0576
_cell_length_b 3.0576
_cell_length_c 26.3650
_cell_angle_alpha 90.00
_cell_angle_beta 90.00
_cell_angle_gamma 120.00
loop_
_atom_site_label
_atom_site_fract_x
_atom_site_fract_y
_atom_site_fract_z
Sc1 0.0000 0.0000 0.2462
Mn1 0.0000 0.0000 0.0000
Os1 0.0000 0.0000 0.5000
# ΔH_f (0 K)   0.142 eV/atom
# Crystal system   trigonal
# Excess energy over the best structure of this formula in the dataset   0.324 eV/atom

---

Entry 7:
# Sc2Mn3Os PBE relaxed
data_Sc2Mn3Os
_chemical_formula_sum 'Sc4 Mn6 Os2'
_symmetry_space_group_name_H-M 'C 1 2/m 1'
_symmetry_Int_Tables_number 12
_symmetry_space_group_name_Hall '-C 2y'
_cell_length_a 8.451
_cell_length_b 5.090
_cell_length_c 5.123
_cell_angle_alpha 90.00
_cell_angle_beta 124.39
_cell_angle_gamma 90.00
loop_
_atom_site_label
_atom_site_fract_x
_atom_site_fract_y
_atom_site_fract_z
Sc1 0.125 0.000 0.374
Mn1 0.000 0.500 0.000
Mn2 0.250 0.250 0.000
Os1 0.000 0.500 0.500
# ΔH_f (0 K)   -0.250 eV/atom
# Crystal system   monoclinic

---

Entry 8:
# ScMnSi2Os PBE relaxed
data_ScMnSi2Os
_chemical_formula_sum 'Sc2 Mn2 Si4 Os2'
_symmetry_space_group_name_H-M 'I -4 m 2'
_symmetry_Int_Tables_number 119
_symmetry_space_group_name_Hall 'I -4 -2'
_cell_length_a 3.909
_cell_length_b 3.909
_cell_length_c 10.138
_cell_angle_alpha 90.00
_cell_angle_beta 90.00
_cell_angle_gamma 90.00
loop_
_atom_site_label
_atom_site_fract_x
_atom_site_fract_y
_atom_site_fract_z
Sc1 0.000 0.000 0.000
Mn1 0.000 0.500 0.750
Si1 0.000 0.000 0.384
Os1 0.000 0.500 0.250
# Crystal system   tetragonal
# E_form (uncorrected)   -0.622 eV per atom

---

Entry 9:
# ScMnSnOs PBE relaxed
data_ScMnSnOs
_chemical_formula_sum 'Sc4 Mn4 Sn4 Os4'
_symmetry_space_group_name_H-M 'F -4 3 m'
_symmetry_Int_Tables_number 216
_symmetry_space_group_name_Hall 'F -4 2 3'
_cell_length_a 6.481
_cell_length_b 6.481
_cell_length_c 6.481
_cell_angle_alpha 90.00
_cell_angle_beta 90.00
_cell_angle_gamma 90.00
loop_
_atom_site_label
_atom_site_fract_x
_atom_site_fract_y
_atom_site_fract_z
Sc1 0.000 0.000 0.000
Mn1 0.250 0.250 0.250
Sn1 0.000 0.000 0.500
Os1 0.250 0.250 0.750
# ΔH_f (0 K)   -0.121 eV/atom
# Crystal system   cubic

---

Entry 10:
# ScMn2SnOs PBE relaxed
data_ScMn2SnOs
_chemical_formula_sum 'Sc1 Mn2 Sn1 Os1'
_symmetry_space_group_name_H-M 'P 4/m m m'
_symmetry_Int_Tables_number 123
_symmetry_space_group_name_Hall '-P 4 2'
_cell_length_a 4.823
_cell_length_b 4.823
_cell_length_c 4.907
_cell_angle_alpha 90.00
_cell_angle_beta 90.00
_cell_angle_gamma 90.00
loop_
_atom_site_label
_atom_site_fract_x
_atom_site_fract_y
_atom_site_fract_z
Sc1 0.000 0.000 0.000
Mn1 0.000 0.500 0.500
Sn1 0.500 0.500 0.000
Os1 0.000 0.000 0.500
# ΔH_f (0 K)   0.594 eV/atom
# Crystal system   tetragonal

---

Entry 11:
# ScMnTcOs PBE relaxed
data_ScMnTcOs
_chemical_formula_sum 'Sc4 Mn4 Tc4 Os4'
_symmetry_space_group_name_H-M 'F -4 3 m'
_symmetry_Int_Tables_number 216
_symmetry_space_group_name_Hall 'F -4 2 3'
_cell_length_a 6.225
_cell_length_b 6.225
_cell_length_c 6.225
_cell_angle_alpha 90.00
_cell_angle_beta 90.00
_cell_angle_gamma 90.00
loop_
_atom_site_label
_atom_site_fract_x
_atom_site_fract_y
_atom_site_fract_z
Sc1 0.000 0.000 0.000
Mn1 0.250 0.250 0.250
Tc1 0.250 0.250 0.750
Os1 0.000 0.000 0.500
# ΔH_f (0 K)   -0.011 eV/atom
# Crystal system   cubic

---

Entry 12:
# ThScMnOs PBE relaxed
data_ThScMnOs
_chemical_formula_sum 'Th4 Sc4 Mn4 Os4'
_symmetry_space_group_name_H-M 'F -4 3 m'
_symmetry_Int_Tables_number 216
_symmetry_space_group_name_Hall 'F -4 2 3'
_cell_length_a 6.806
_cell_length_b 6.806
_cell_length_c 6.806
_cell_angle_alpha 90.00
_cell_angle_beta 90.00
_cell_angle_gamma 90.00
loop_
_atom_site_label
_atom_site_fract_x
_atom_site_fract_y
_atom_site_fract_z
Th1 0.000 0.000 0.000
Sc1 0.000 0.000 0.500
Mn1 0.250 0.250 0.250
Os1 0.250 0.250 0.750
# ΔH_f (0 K)   -0.109 eV/atom
# Crystal system   cubic

---

Entry 13:
# ScUMnOs PBE relaxed
data_ScUMnOs
_chemical_formula_sum 'Sc4 U4 Mn4 Os4'
_symmetry_space_group_name_H-M 'F -4 3 m'
_symmetry_Int_Tables_number 216
_symmetry_space_group_name_Hall 'F -4 2 3'
_cell_length_a 6.587
_cell_length_b 6.587
_cell_length_c 6.587
_cell_angle_alpha 90.00
_cell_angle_beta 90.00
_cell_angle_gamma 90.00
loop_
_atom_site_label
_atom_site_fract_x
_atom_site_fract_y
_atom_site_fract_z
Sc1 0.000 0.000 0.000
U1 0.000 0.000 0.500
Mn1 0.250 0.250 0.250
Os1 0.250 0.250 0.750
# ΔH_f (0 K)   -0.046 eV/atom
# Crystal system   cubic

---

Entry 14:
# ScMnZnOs PBE relaxed
data_ScMnZnOs
_chemical_formula_sum 'Sc4 Mn4 Zn4 Os4'
_symmetry_space_group_name_H-M 'F -4 3 m'
_symmetry_Int_Tables_number 216
_symmetry_space_group_name_Hall 'F -4 2 3'
_cell_length_a 6.203
_cell_length_b 6.203
_cell_length_c 6.203
_cell_angle_alpha 90.00
_cell_angle_beta 90.00
_cell_angle_gamma 90.00
loop_
_atom_site_label
_atom_site_fract_x
_atom_site_fract_y
_atom_site_fract_z
Sc1 0.000 0.000 0.000
Mn1 0.250 0.250 0.750
Zn1 0.250 0.250 0.250
Os1 0.000 0.000 0.500
# ΔH_f (0 K)   -0.038 eV/atom
# Crystal system   cubic

---

Entry 15:
# MnOsSe2 PBE relaxed
data_MnOsSe2
_chemical_formula_sum 'Mn4 Os4 Se8'
_symmetry_space_group_name_H-M 'F -4 3 m'
_symmetry_Int_Tables_number 216
_symmetry_space_group_name_Hall 'F -4 2 3'
_cell_length_a 6.438
_cell_length_b 6.438
_cell_length_c 6.438
_cell_angle_alpha 90.00
_cell_angle_beta 90.00
_cell_angle_gamma 90.00
loop_
_atom_site_label
_atom_site_fract_x
_atom_site_fract_y
_atom_site_fract_z
Mn1 0.000 0.000 0.000
Os1 0.250 0.250 0.250
Se1 0.000 0.000 0.500
Se2 0.250 0.250 0.750
# Crystal system   cubic
# E_form (uncorrected)   0.869 eV per atom
# Excess energy over the best structure of this formula in the dataset   0.951 eV/atom

---

Entry 16:
# MnOsSe2 PBE relaxed
data_MnOsSe2
_chemical_formula_sum 'Mn4 Os4 Se8'
_symmetry_space_group_name_H-M 'I -4 2 d'
_symmetry_Int_Tables_number 122
_symmetry_space_group_name_Hall 'I -4 2bw'
_cell_length_a 5.396
_cell_length_b 5.396
_cell_length_c 10.827
_cell_angle_alpha 90.00
_cell_angle_beta 90.00
_cell_angle_gamma 90.00
loop_
_atom_site_label
_atom_site_fract_x
_atom_site_fract_y
_atom_site_fract_z
Mn1 0.000 0.000 0.000
Os1 0.000 0.000 0.500
Se1 0.234 0.250 0.125
# Crystal system   tetragonal
# E_form (uncorrected)   0.388 eV per atom
# Excess energy over the best structure of this formula in the dataset   0.471 eV/atom

---

Entry 17:
# MnOsSe2 PBE relaxed
data_MnOsSe2
_chemical_formula_sum 'Mn3 Os3 Se6'
_symmetry_space_group_name_H-M 'R -3 m'
_symmetry_Int_Tables_number 166
_symmetry_space_group_name_Hall '-R 3 2"'
_cell_length_a 3.0931
_cell_length_b 3.0931
_cell_length_c 23.7782
_cell_angle_alpha 90.00
_cell_angle_beta 90.00
_cell_angle_gamma 120.00
loop_
_atom_site_label
_atom_site_fract_x
_atom_site_fract_y
_atom_site_fract_z
Mn1 0.0000 0.0000 0.0000
Os1 0.0000 0.0000 0.5000
Se1 0.0000 0.0000 0.4003
# Crystal system   trigonal
# E_form (uncorrected)   0.284 eV per atom
# Excess energy over the best structure of this formula in the dataset   0.366 eV/atom

---

Entry 18:
# Mn2OsSe PBE relaxed
data_Mn2OsSe
_chemical_formula_sum 'Mn2 Os1 Se1'
_symmetry_space_group_name_H-M 'P 4/m m m'
_symmetry_Int_Tables_number 123
_symmetry_space_group_name_Hall '-P 4 2'
_cell_length_a 3.732
_cell_length_b 3.732
_cell_length_c 3.947
_cell_angle_alpha 90.00
_cell_angle_beta 90.00
_cell_angle_gamma 90.00
loop_
_atom_site_label
_atom_site_fract_x
_atom_site_fract_y
_atom_site_fract_z
Mn1 0.000 0.500 0.000
Os1 0.000 0.000 0.500
Se1 0.500 0.500 0.500
# Crystal system   tetragonal
# E_form (uncorrected)   0.455 eV per atom

---

Entry 19:
# Mn2OsSe PBE relaxed
data_Mn2OsSe
_chemical_formula_sum 'Mn8 Os4 Se4'
_symmetry_space_group_name_H-M 'I -4 2 d'
_symmetry_Int_Tables_number 122
_symmetry_space_group_name_Hall 'I -4 2bw'
_cell_length_a 5.359
_cell_length_b 5.359
_cell_length_c 10.305
_cell_angle_alpha 90.00
_cell_angle_beta 90.00
_cell_angle_gamma 90.00
loop_
_atom_site_label
_atom_site_fract_x
_atom_site_fract_y
_atom_site_fract_z
Mn1 0.245 0.250 0.125
Os1 0.000 0.000 0.000
Se1 0.000 0.000 0.500
# Crystal system   tetragonal
# E_form (uncorrected)   0.705 eV per atom

---

Entry 20:
# MnOs2Se PBE relaxed
data_MnOs2Se
_chemical_formula_sum 'Mn2 Os4 Se2'
_symmetry_space_group_name_H-M 'C 1 2/m 1'
_symmetry_Int_Tables_number 12
_symmetry_space_group_name_Hall '-C 2y'
_cell_length_a 9.304
_cell_length_b 2.859
_cell_length_c 4.463
_cell_angle_alpha 90.00
_cell_angle_beta 94.43
_cell_angle_gamma 90.00
loop_
_atom_site_label
_atom_site_fract_x
_atom_site_fract_y
_atom_site_fract_z
Mn1 0.000 0.000 0.000
Os1 0.221 0.500 0.229
Se1 0.000 0.500 0.500
# Crystal system   monoclinic
# E_form (uncorrected)   0.429 eV per atom